The following is a DFT calculation (meta-GGA SCAN) of a crystal of CeAl10Ru2 relaxed with PBEsol.

Cell: 8.999 10.236 9.082 Å, 90.00 90.00 90.00°
Space group Cmcm (No. 63)
Asymmetric unit:
Ce 0.000 0.124 0.250 (multiplicity 4)
Al 0.000 0.158 0.601 (multiplicity 8)
Al 0.000 0.377 0.051 (multiplicity 8)
Al 0.150 0.370 0.750 (multiplicity 8)
Al 0.225 0.000 0.000 (multiplicity 8)
Al 0.226 0.365 0.250 (multiplicity 8)
Ru 0.250 0.250 0.000 (multiplicity 8)

total energy = -797.866 eV/cell
magnetization = 0.40 μB/f.u.
DOS(E_F) = 0.30 states/eV/atom
volume = 836.6 Å³/cell
energy of formation = -0.595 eV/atom

The following is a DFT calculation (meta-GGA SCAN) of a crystal of TaCrSi2 relaxed with PBEsol.

Cell: 8.332 2.979 4.515 Å, 90.00 101.67 90.00°
Space group C2/m (No. 12)
Asymmetric unit:
Ta 0.000 0.000 0.000 (multiplicity 2)
Cr 0.000 0.500 0.500 (multiplicity 2)
Si 0.239 0.000 0.712 (multiplicity 4)

total energy = -210.140 eV/cell
magnetization = 0.00 μB/f.u.
DOS(E_F) = 0.47 states/eV/atom
volume = 109.8 Å³/cell
uncorrected formation energy = -0.018 eV/atom

The following is a DFT calculation (meta-GGA SCAN) of a crystal of AlZn relaxed with PBEsol.

Cell: 2.740 4.760 9.584 Å, 90.00 90.00 90.00°
Space group Imma (No. 74)
Asymmetric unit:
Al 0.000 0.250 0.119 (multiplicity 4)
Zn 0.000 0.250 0.630 (multiplicity 4)

total energy = -84.561 eV/cell
magnetization = 0.00 μB/f.u.
DOS(E_F) = 0.34 states/eV/atom
volume = 125.0 Å³/cell
energy of formation = 0.063 eV/atom

The following is a DFT calculation (meta-GGA SCAN) of a crystal of LiTa2Br relaxed with PBEsol.

Cell: 5.407 8.781 2.909 Å, 90.00 90.00 90.00°
Space group Cmmm (No. 65)
Asymmetric unit:
Li 0.000 0.000 0.000 (multiplicity 2)
Ta 0.250 0.250 0.500 (multiplicity 4)
Br 0.000 0.500 0.000 (multiplicity 2)

total energy = -303.583 eV/cell
magnetization = 0.00 μB/f.u.
DOS(E_F) = 0.73 states/eV/atom
volume = 138.1 Å³/cell
uncorrected formation energy = 0.806 eV/atom

The following is a DFT calculation (meta-GGA SCAN) of a crystal of CaPb2Br relaxed with PBEsol.

Cell: 5.630 5.630 3.576 Å, 90.00 90.00 90.00°
Space group P4/mmm (No. 123)
Asymmetric unit:
Ca 0.000 0.000 0.000 (multiplicity 1)
Pb 0.000 0.500 0.500 (multiplicity 2)
Br 0.500 0.500 0.000 (multiplicity 1)

total energy = -182.562 eV/cell
magnetization = 0.00 μB/f.u.
DOS(E_F) = 0.48 states/eV/atom
volume = 113.3 Å³/cell
uncorrected formation energy = -0.469 eV/atom

The following is a DFT calculation (meta-GGA SCAN) of a crystal of K2PbAu relaxed with PBEsol.

Cell: 4.614 4.614 5.453 Å, 90.00 90.00 90.00°
Space group P4/mmm (No. 123)
Asymmetric unit:
K 0.000 0.500 0.000 (multiplicity 2)
Pb 0.000 0.000 0.500 (multiplicity 1)
Au 0.500 0.500 0.500 (multiplicity 1)

total energy = -162.097 eV/cell
magnetization = 0.00 μB/f.u.
DOS(E_F) = 0.68 states/eV/atom
volume = 116.1 Å³/cell
energy of formation = -0.125 eV/atom

The following is a DFT calculation (meta-GGA SCAN) of a crystal of LiCa2Te relaxed with PBEsol.

Cell: 4.458 4.458 11.764 Å, 90.00 90.00 90.00°
Space group I-4m2 (No. 119)
Asymmetric unit:
Li 0.000 0.000 0.000 (multiplicity 2)
Ca 0.000 0.000 0.500 (multiplicity 2)
Ca 0.000 0.500 0.750 (multiplicity 2)
Te 0.000 0.500 0.250 (multiplicity 2)

total energy = -122.873 eV/cell
magnetization = 0.90 μB/f.u.
DOS(E_F) = 0.60 states/eV/atom
volume = 233.8 Å³/cell
uncorrected formation energy = -0.617 eV/atom

The following is a DFT calculation (meta-GGA SCAN) of a crystal of Be2CdWS relaxed with PBEsol.

Cell: 3.994 3.994 5.040 Å, 90.00 90.00 90.00°
Space group P4/mmm (No. 123)
Asymmetric unit:
Be 0.000 0.500 0.000 (multiplicity 2)
Cd 0.000 0.000 0.500 (multiplicity 1)
W 0.500 0.500 0.500 (multiplicity 1)
S 0.000 0.000 0.000 (multiplicity 1)

total energy = -111.842 eV/cell
magnetization = 2.21 μB/f.u.
DOS(E_F) = 0.35 states/eV/atom
volume = 80.4 Å³/cell
uncorrected formation energy = 1.319 eV/atom